{"formula": "LiCrRe2", "functional": "PBE", "state": "relaxed", "relative_energy_ev_per_fu": 0.55, "dft_energy_ev_per_atom": -8.7761, "magmom_total_mub_per_atom": 0.59, "formation_enthalpy_0k_ev_per_atom": 0.332, "lattice": [[3.056, 0.000, 0.000], [0.000, 3.056, 0.000], [0.000, 0.000, 5.867]], "species": ["Re", "Re", "Li", "Cr"], "fractional_positions": [[0.000, 0.000, 0.993], [0.500, 0.500, 0.245], [0.500, 0.500, 0.745], [0.000, 0.000, 0.517]]}



{"formula": "LiCr2Re", "functional": "PBE", "state": "relaxed", "relative_energy_ev_per_fu": 2.54, "dft_energy_ev_per_atom": -7.5181, "magmom_total_mub_per_atom": 0.26, "formation_enthalpy_0k_ev_per_atom": 0.884, "lattice": [[6.588, 0.000, 0.000], [0.000, 6.588, 0.000], [3.294, 3.294, 2.521]], "species": ["Li", "Li", "Re", "Re", "Cr", "Cr", "Cr", "Cr"], "fractional_positions": [[0.500, 0.500, 0.000], [0.250, 0.750, 0.500], [0.000, 0.000, 0.000], [0.750, 0.250, 0.500], [0.114, 0.625, 0.250], [0.636, 0.125, 0.250], [0.875, 0.886, 0.750], [0.375, 0.364, 0.750]]}



{"formula": "LiCrRe", "functional": "PBE", "state": "relaxed", "relative_energy_ev_per_fu": 0.99, "dft_energy_ev_per_atom": -7.4482, "magmom_total_mub_per_atom": 0.00, "formation_enthalpy_0k_ev_per_atom": 0.547, "lattice": [[6.913, 0.004, 0.000], [6.006, 3.423, 0.000], [-6.459, -1.713, 1.769]], "species": ["Li", "Cr", "Re"], "fractional_positions": [[0.334, 0.334, 0.000], [0.002, 0.002, 0.000], [0.665, 0.665, 0.000]]}



{"formula": "LiCrRe2", "functional": "PBE", "state": "relaxed", "relative_energy_ev_per_fu": 0.00, "dft_energy_ev_per_atom": -8.9127, "magmom_total_mub_per_atom": 0.00, "formation_enthalpy_0k_ev_per_atom": 0.196, "lattice": [[2.615, -0.002, 0.000], [-0.927, 2.445, 0.000], [0.000, 0.000, 8.841]], "species": ["Cr", "Li", "Re", "Re"], "fractional_positions": [[0.500, 0.500, 0.250], [0.500, 0.500, 0.750], [0.000, 0.000, 0.016], [0.000, 0.000, 0.484]]}



{"formula": "LiCrRe2", "functional": "PBE", "state": "relaxed", "relative_energy_ev_per_fu": 0.39, "dft_energy_ev_per_atom": -8.8144, "magmom_total_mub_per_atom": 0.00, "formation_enthalpy_0k_ev_per_atom": 0.294, "lattice": [[0.000, 2.958, 2.958], [2.958, 0.000, 2.958], [2.958, 2.958, 0.000]], "species": ["Re", "Re", "Cr", "Li"], "fractional_positions": [[0.750, 0.750, 0.750], [0.250, 0.250, 0.250], [0.500, 0.500, 0.500], [0.000, 0.000, 0.000]]}



{"formula": "LiCr2Re", "functional": "PBE", "state": "relaxed", "relative_energy_ev_per_fu": 0.62, "dft_energy_ev_per_atom": -7.9971, "magmom_total_mub_per_atom": 0.17, "formation_enthalpy_0k_ev_per_atom": 0.405, "lattice": [[-0.402, 1.624, -1.789], [-3.185, -2.289, -1.362], [-3.127, 2.553, 3.021]], "species": ["Re", "Cr", "Cr", "Li"], "fractional_positions": [[0.500, 0.500, 0.747], [0.000, 0.000, 0.001], [0.500, 0.500, 0.258], [0.000, 0.000, 0.494]]}



{"formula": "LiCr2Re", "functional": "PBE", "state": "relaxed", "relative_energy_ev_per_fu": 0.59, "dft_energy_ev_per_atom": -8.0064, "magmom_total_mub_per_atom": 0.46, "formation_enthalpy_0k_ev_per_atom": 0.396, "lattice": [[-0.291, 2.806, 0.883], [0.501, -0.827, 2.793], [5.746, 0.841, -0.781]], "species": ["Cr", "Cr", "Re", "Li"], "fractional_positions": [[0.500, 0.500, 0.245], [0.000, 0.000, 0.004], [0.500, 0.500, 0.758], [0.000, 0.000, 0.493]]}



{"formula": "LiCrRe", "functional": "PBE", "state": "relaxed", "relative_energy_ev_per_fu": 0.27, "dft_energy_ev_per_atom": -7.6861, "magmom_total_mub_per_atom": 0.00, "formation_enthalpy_0k_ev_per_atom": 0.309, "lattice": [[-3.688, 2.260, -1.088], [-2.966, -2.412, -2.296], [2.236, 0.588, 3.814]], "species": ["Cr", "Li", "Re"], "fractional_positions": [[0.002, 0.002, 0.000], [0.667, 0.667, 0.000], [0.331, 0.331, 0.000]]}



{"formula": "LiCrRe2", "functional": "PBE", "state": "relaxed", "relative_energy_ev_per_fu": 0.07, "dft_energy_ev_per_atom": -8.8947, "magmom_total_mub_per_atom": 0.03, "formation_enthalpy_0k_ev_per_atom": 0.214, "lattice": [[4.144, 0.000, 0.000], [0.000, 2.583, -0.005], [0.000, 0.790, 5.035]], "species": ["Re", "Re", "Li", "Cr"], "fractional_positions": [[0.000, 0.017, 0.996], [0.000, 0.483, 0.504], [0.500, 0.750, 0.750], [0.500, 0.250, 0.250]]}



{"formula": "LiCr2Re", "functional": "PBE", "state": "relaxed", "relative_energy_ev_per_fu": 0.47, "dft_energy_ev_per_atom": -8.0351, "magmom_total_mub_per_atom": 0.00, "formation_enthalpy_0k_ev_per_atom": 0.367, "lattice": [[4.793, -0.009, 0.000], [2.092, 4.312, 0.000], [-3.011, -2.842, 2.414]], "species": ["Li", "Cr", "Cr", "Re"], "fractional_positions": [[0.250, 0.750, 0.500], [0.991, 0.991, 0.000], [0.509, 0.509, 0.000], [0.750, 0.250, 0.500]]}



{"formula": "LiCr2Re", "functional": "PBE", "state": "relaxed", "relative_energy_ev_per_fu": 0.66, "dft_energy_ev_per_atom": -7.9874, "magmom_total_mub_per_atom": 0.01, "formation_enthalpy_0k_ev_per_atom": 0.415, "lattice": [[4.436, -0.010, -0.010], [3.754, 2.364, -0.010], [0.221, 0.063, 4.876]], "species": ["Cr", "Cr", "Re", "Li"], "fractional_positions": [[0.749, 0.749, 0.745], [0.001, 0.001, 0.997], [0.249, 0.249, 0.254], [0.500, 0.500, 0.505]]}



{"formula": "LiCr2Re", "functional": "PBE", "state": "relaxed", "relative_energy_ev_per_fu": 0.00, "dft_energy_ev_per_atom": -8.1533, "magmom_total_mub_per_atom": 0.00, "formation_enthalpy_0k_ev_per_atom": 0.249, "lattice": [[-1.882, 0.437, -1.697], [-0.977, -0.501, 2.326], [0.234, 8.417, 1.910]], "species": ["Li", "Re", "Cr", "Cr"], "fractional_positions": [[0.000, 0.000, 0.496], [0.500, 0.500, 0.766], [0.500, 0.500, 0.226], [0.000, 0.000, 0.012]]}



{"formula": "LiCrRe2", "functional": "PBE", "state": "relaxed", "relative_energy_ev_per_fu": 0.28, "dft_energy_ev_per_atom": -8.8424, "magmom_total_mub_per_atom": 0.03, "formation_enthalpy_0k_ev_per_atom": 0.266, "lattice": [[5.040, -0.004, -0.013], [-2.314, 4.407, 0.000], [0.412, 0.738, 2.434]], "species": ["Re", "Re", "Li", "Cr"], "fractional_positions": [[0.500, 0.000, 0.500], [0.000, 0.000, 0.000], [0.500, 0.500, 0.000], [0.000, 0.500, 0.500]]}



{"formula": "LiCrRe2", "functional": "PBE", "state": "relaxed", "relative_energy_ev_per_fu": 0.66, "dft_energy_ev_per_atom": -8.7465, "magmom_total_mub_per_atom": 0.00, "formation_enthalpy_0k_ev_per_atom": 0.362, "lattice": [[2.557, 0.000, 0.000], [0.000, 4.189, 0.000], [0.000, 0.000, 5.083]], "species": ["Cr", "Re", "Re", "Li"], "fractional_positions": [[0.000, 0.000, 0.512], [0.000, 0.000, 0.992], [0.500, 0.500, 0.251], [0.500, 0.500, 0.745]]}



{"formula": "LiCr2Re", "functional": "PBE", "state": "relaxed", "relative_energy_ev_per_fu": 0.12, "dft_energy_ev_per_atom": -8.1243, "magmom_total_mub_per_atom": 0.00, "formation_enthalpy_0k_ev_per_atom": 0.278, "lattice": [[4.126, 0.000, 0.000], [0.000, 2.506, 0.004], [0.000, 0.792, 4.872]], "species": ["Cr", "Cr", "Li", "Re"], "fractional_positions": [[0.000, 0.011, 0.006], [0.500, 0.257, 0.248], [0.000, 0.472, 0.496], [0.500, 0.760, 0.750]]}



{"formula": "LiCr2Re", "functional": "PBE", "state": "relaxed", "relative_energy_ev_per_fu": 0.11, "dft_energy_ev_per_atom": -8.1254, "magmom_total_mub_per_atom": 0.87, "formation_enthalpy_0k_ev_per_atom": 0.277, "lattice": [[4.154, -0.335, 0.509], [1.605, -0.578, 3.836], [1.697, -3.699, 1.030]], "species": ["Cr", "Cr", "Re", "Li"], "fractional_positions": [[0.750, 0.750, 0.750], [0.250, 0.250, 0.250], [0.500, 0.500, 0.500], [0.000, 0.000, 0.000]]}



{"formula": "LiCrRe2", "functional": "PBE", "state": "relaxed", "relative_energy_ev_per_fu": 0.72, "dft_energy_ev_per_atom": -8.7331, "magmom_total_mub_per_atom": 0.22, "formation_enthalpy_0k_ev_per_atom": 0.375, "lattice": [[-3.578, 1.988, -2.008], [-3.662, -0.484, -2.672], [-2.948, -0.924, 3.812]], "species": ["Li", "Cr", "Re", "Re"], "fractional_positions": [[0.749, 0.749, 0.746], [0.503, 0.503, 0.512], [0.248, 0.248, 0.252], [0.000, 0.000, 0.991]]}



{"formula": "LiCrReRh", "functional": "PBE", "state": "relaxed", "dft_energy_ev_per_atom": -7.6957, "magmom_total_mub_per_atom": 0.25, "formation_enthalpy_0k_ev_per_atom": 0.139, "lattice": [[4.222, 0.000, 0.000], [2.111, 3.657, 0.000], [2.111, 1.219, 3.448]], "species": ["Rh", "Cr", "Re", "Li"], "fractional_positions": [[0.750, 0.750, 0.750], [0.250, 0.250, 0.250], [0.000, 0.000, 0.000], [0.500, 0.500, 0.500]]}



{"formula": "Li2CrReS", "functional": "PBE", "state": "relaxed", "dft_energy_ev_per_atom": -4.7132, "raw_formation_energy_mev_per_atom": 1292.1, "magmom_total_mub_per_atom": 0.18, "lattice": [[-2.827, 2.206, -3.268], [2.010, -2.156, -3.194], [-3.242, -3.589, 0.382]], "species": ["Li", "Li", "Re", "S", "Cr"], "fractional_positions": [[0.500, 0.000, 0.000], [0.000, 0.000, 0.500], [0.000, 0.000, 0.000], [0.500, 0.500, 0.500], [0.000, 0.500, 0.000]]}



{"formula": "LiCrReTc", "functional": "PBE", "state": "relaxed", "dft_energy_ev_per_atom": -8.4106, "magmom_total_mub_per_atom": 0.61, "formation_enthalpy_0k_ev_per_atom": 0.177, "lattice": [[-3.016, 1.810, 2.399], [0.491, 0.226, 4.223], [0.731, 3.760, 1.860]], "species": ["Cr", "Tc", "Li", "Re"], "fractional_positions": [[0.000, 0.000, 0.000], [0.500, 0.500, 0.500], [0.750, 0.750, 0.750], [0.250, 0.250, 0.250]]}



{"formula": "LiTiCrRe2", "functional": "PBE", "state": "relaxed", "dft_energy_ev_per_atom": -7.7731, "magmom_total_mub_per_atom": 0.00, "formation_enthalpy_0k_ev_per_atom": 1.093, "lattice": [[4.479, 0.000, 0.000], [0.000, 4.501, 0.000], [0.000, 0.000, 4.479]], "species": ["Re", "Re", "Ti", "Cr", "Li"], "fractional_positions": [[0.000, 0.000, 0.500], [0.500, 0.000, 0.000], [0.000, 0.500, 0.000], [0.000, 0.000, 0.000], [0.500, 0.500, 0.500]]}



{"formula": "LiCrRe2W", "functional": "PBE", "state": "relaxed", "dft_energy_ev_per_atom": -8.4238, "magmom_total_mub_per_atom": 0.00, "formation_enthalpy_0k_ev_per_atom": 1.454, "lattice": [[-2.745, 1.329, -2.739], [-3.025, -1.609, 2.251], [-0.351, 3.589, 2.094]], "species": ["Re", "Re", "Cr", "Li", "W"], "fractional_positions": [[0.000, 0.500, 0.000], [0.500, 0.000, 0.000], [0.500, 0.500, 0.500], [0.000, 0.000, 0.000], [0.000, 0.000, 0.500]]}



{"formula": "LiYCr2Re", "functional": "PBE", "state": "relaxed", "dft_energy_ev_per_atom": -6.7176, "magmom_total_mub_per_atom": 0.00, "formation_enthalpy_0k_ev_per_atom": 1.297, "lattice": [[4.186, 0.000, 0.000], [0.000, 4.517, 0.000], [0.000, 0.000, 4.186]], "species": ["Li", "Cr", "Cr", "Re", "Y"], "fractional_positions": [[0.000, 0.000, 0.000], [0.000, 0.000, 0.500], [0.500, 0.000, 0.000], [0.000, 0.500, 0.000], [0.500, 0.500, 0.500]]}



{"formula": "LiZr2CrRe", "functional": "PBE", "state": "relaxed", "dft_energy_ev_per_atom": -7.0928, "magmom_total_mub_per_atom": 0.06, "formation_enthalpy_0k_ev_per_atom": 1.123, "lattice": [[-0.321, -2.574, -3.956], [4.070, -0.576, 0.045], [-0.582, -3.914, 2.593]], "species": ["Zr", "Zr", "Cr", "Re", "Li"], "fractional_positions": [[0.500, 0.000, 0.000], [0.000, 0.000, 0.500], [0.000, 0.000, 0.000], [0.500, 0.500, 0.500], [0.000, 0.500, 0.000]]}



{"formula": "LiZrCrRe2", "functional": "PBE", "state": "relaxed", "dft_energy_ev_per_atom": -7.6560, "magmom_total_mub_per_atom": 0.00, "formation_enthalpy_0k_ev_per_atom": 1.340, "lattice": [[4.181, 0.000, 0.000], [0.000, 4.382, 0.000], [0.000, 0.000, 4.181]], "species": ["Re", "Re", "Cr", "Zr", "Li"], "fractional_positions": [[0.000, 0.000, 0.500], [0.500, 0.000, 0.000], [0.500, 0.500, 0.500], [0.000, 0.500, 0.000], [0.000, 0.000, 0.000]]}



{"formula": "Li2CrRh", "functional": "PBE", "state": "relaxed", "relative_energy_ev_per_fu": 0.06, "dft_energy_ev_per_atom": -5.1106, "magmom_total_mub_per_atom": 0.71, "formation_enthalpy_0k_ev_per_atom": 0.090, "lattice": [[-3.418, 1.049, -0.253], [-0.112, 0.318, 2.823], [1.606, 5.763, 2.199]], "species": ["Li", "Li", "Rh", "Cr"], "fractional_positions": [[0.000, 0.993, 0.007], [0.500, 0.243, 0.255], [0.000, 0.471, 0.528], [0.500, 0.793, 0.710]]}



{"formula": "LiCr2Rh", "functional": "PBE", "state": "relaxed", "dft_energy_ev_per_atom": -6.9002, "magmom_total_mub_per_atom": 0.00, "formation_enthalpy_0k_ev_per_atom": 0.228, "lattice": [[2.571, 0.000, 0.000], [0.000, 4.007, 0.000], [0.000, 0.000, 4.739]], "species": ["Rh", "Cr", "Cr", "Li"], "fractional_positions": [[0.500, 0.500, 0.750], [0.000, 0.000, 0.489], [0.000, 0.000, 0.011], [0.500, 0.500, 0.250]]}



{"formula": "LiCr2Rh", "functional": "PBE", "state": "relaxed", "dft_energy_ev_per_atom": -6.7814, "magmom_total_mub_per_atom": 0.01, "formation_enthalpy_0k_ev_per_atom": 0.347, "lattice": [[-3.661, -0.274, 8.319], [-1.430, -1.545, 8.846], [-1.492, 1.074, 8.905]], "species": ["Cr", "Cr", "Li", "Rh"], "fractional_positions": [[0.995, 0.995, 0.995], [0.505, 0.505, 0.505], [0.750, 0.750, 0.750], [0.250, 0.250, 0.250]]}



{"formula": "LiCr2Rh", "functional": "PBE", "state": "relaxed", "dft_energy_ev_per_atom": -6.8690, "magmom_total_mub_per_atom": 0.10, "formation_enthalpy_0k_ev_per_atom": 0.259, "lattice": [[-0.166, 3.849, 2.749], [-3.932, -2.478, -0.891], [0.447, -1.450, 2.057]], "species": ["Cr", "Cr", "Li", "Rh"], "fractional_positions": [[0.500, 0.500, 0.000], [0.000, 0.000, 0.000], [0.500, 0.000, 0.500], [0.000, 0.500, 0.500]]}



{"formula": "LiCr2Rh", "functional": "PBE", "state": "relaxed", "dft_energy_ev_per_atom": -6.9025, "magmom_total_mub_per_atom": 0.00, "formation_enthalpy_0k_ev_per_atom": 0.225, "lattice": [[-2.160, 2.935, 3.000], [-2.998, -2.638, -2.731], [-0.949, -1.467, 1.873]], "species": ["Li", "Cr", "Cr", "Rh"], "fractional_positions": [[0.000, 0.500, 0.500], [0.500, 0.000, 0.500], [0.000, 0.000, 0.000], [0.500, 0.500, 0.000]]}